TcSnIrOsS: relaxed, PBE.

Structure (POSCAR):
```
TcSnIrOsS
1.0
7.992 -1.449 0.000
7.992 1.449 0.000
-0.795 0.000 3.510
Tc Sn Ir Os S
1 1 1 1 1
Direct
0.000 0.000 0.000
0.200 0.200 0.199
0.587 0.587 0.586
0.348 0.348 0.852
0.894 0.894 0.397
```

## Properties
Space group   Cm
Distance to the lowest polymorph of the same formula   186 meV per atom
DOS(E_F)   2.3 states/eV/f.u.
Uncorrected energy   -7.4660 eV per atom
Spin magnetization   0.00 μB per formula unit

***

LaTh2C: relaxed, PBE.

Structure (POSCAR):
```
LaTh2C
1.0
1.840 1.062 9.345
-1.840 1.062 9.345
0.000 -2.125 9.345
La Th C
1 2 1
Direct
0.000 0.000 0.000
0.549 0.549 0.549
0.778 0.778 0.778
0.165 0.165 0.165
```

## Properties
Space group   R3m
Distance to the lowest polymorph of the same formula   0 meV per atom
DOS(E_F)   5.5 states/eV/f.u.
Uncorrected energy   -7.3867 eV per atom
Spin magnetization   0.00 μB per formula unit

***

CsKNa2I: relaxed, PBE.

Structure (POSCAR):
```
CsKNa2I
1.0
6.537 0.000 0.000
0.000 6.537 0.000
0.000 0.000 7.423
Cs K Na I
1 1 2 1
Direct
0.000 0.000 0.000
0.500 0.500 0.000
0.000 0.500 0.500
0.500 0.000 0.500
0.000 0.000 0.500
```

## Properties
Space group   P4/mmm
Distance to the lowest polymorph of the same formula   0 meV per atom
DOS(E_F)   2.6 states/eV/f.u.
Uncorrected energy   -1.5875 eV per atom
Spin magnetization   0.00 μB per formula unit

***

SrMgAl2Sn: relaxed, PBE.

Structure (POSCAR):
```
SrMgAl2Sn
1.0
-2.308 2.328 5.915
2.308 -2.328 5.915
2.308 2.328 -5.915
Sr Mg Al Sn
1 1 2 1
Direct
0.000 0.000 0.000
0.245 0.745 0.500
0.619 0.619 0.000
0.741 0.241 0.500
0.388 0.388 0.000
```

## Properties
Space group   Imm2
DOS(E_F)   1.4 states/eV/f.u.
Uncorrected energy   -3.2234 eV per atom
Spin magnetization   0.00 μB per formula unit

***

CsMg6Cu: relaxed, PBE.

Structure (POSCAR):
```
CsMg6Cu
1.0
4.842 0.000 0.000
0.000 3.056 9.239
0.000 -3.056 9.239
Cs Mg Cu
1 6 1
Direct
0.000 0.000 0.000
0.000 0.486 0.974
0.000 0.974 0.486
0.500 0.091 0.580
0.500 0.179 0.179
0.500 0.580 0.091
0.500 0.672 0.672
0.000 0.344 0.344
```

## Properties
Space group   Amm2
Distance to the lowest polymorph of the same formula   0 meV per atom
DOS(E_F)   3.0 states/eV/f.u.
Uncorrected energy   -1.6140 eV per atom
Spin magnetization   0.00 μB per formula unit

***

NiHgIr2: relaxed, PBE.

Structure (POSCAR):
```
NiHgIr2
1.0
4.471 -1.416 0.000
4.471 1.416 0.000
-0.855 0.000 4.880
Ni Hg Ir
1 1 2
Direct
0.000 0.000 0.000
0.246 0.246 0.759
0.485 0.485 0.434
0.741 0.741 0.253
```

## Properties
Space group   Cm
DOS(E_F)   4.2 states/eV/f.u.
Uncorrected energy   -5.6088 eV per atom
Spin magnetization   0.00 μB per formula unit

***

Rb2NaSiP2: relaxed, PBE.

Structure (POSCAR):
```
Rb2NaSiP2
1.0
-3.311 11.056 3.029
3.311 -11.056 3.029
3.311 11.056 -3.029
Rb Na Si P
4 2 2 4
Direct
0.151 0.235 0.386
0.349 0.735 0.083
0.651 0.265 0.917
0.849 0.765 0.614
0.250 0.750 0.500
0.750 0.250 0.500
0.250 0.250 0.000
0.750 0.750 0.000
0.056 0.819 0.875
0.444 0.319 0.763
0.556 0.681 0.237
0.944 0.181 0.125
```

## Properties
Space group   Ibam
DOS(E_F)   1.7 states/eV/f.u.
Uncorrected energy   -3.6031 eV per atom
Spin magnetization   0.00 μB per formula unit

***

CdRe2Si2: relaxed, PBE.

Structure (POSCAR):
```
CdRe2Si2
1.0
7.360 0.000 0.000
0.000 7.360 0.000
0.000 0.000 2.796
Cd Re Si
2 4 4
Direct
0.000 0.000 0.000
0.500 0.500 0.000
0.151 0.349 0.500
0.349 0.849 0.500
0.651 0.151 0.500
0.849 0.651 0.500
0.141 0.641 0.000
0.359 0.141 0.000
0.641 0.859 0.000
0.859 0.359 0.000
```

## Properties
Space group   P4/mbm
DOS(E_F)   2.8 states/eV/f.u.
Uncorrected energy   -7.2158 eV per atom
Spin magnetization   0.00 μB per formula unit

***

LiVSi: relaxed, PBE.

Structure (POSCAR):
```
LiVSi
1.0
4.289 -1.861 0.000
4.289 1.861 0.000
-1.695 0.000 4.802
Li V Si
2 2 2
Direct
0.000 0.000 0.000
0.000 0.000 0.500
0.337 0.337 0.659
0.663 0.663 0.341
0.326 0.326 0.165
0.674 0.674 0.835
```

## Properties
Space group   C2/m
DOS(E_F)   1.3 states/eV/f.u.
Uncorrected energy   -5.6465 eV per atom
Spin magnetization   0.00 μB per formula unit

***

Ce2TiO: relaxed, PBE.

Structure (POSCAR):
```
Ce2TiO
1.0
1.592 0.919 8.787
-1.592 0.919 8.787
0.000 -1.838 8.787
Ce Ti O
2 1 1
Direct
0.105 0.105 0.105
0.895 0.895 0.895
0.000 0.000 0.000
0.500 0.500 0.500
```

## Properties
Space group   R-3m
DOS(E_F)   6.5 states/eV/f.u.
Uncorrected energy   -7.1695 eV per atom
Spin magnetization   1.01 μB per formula unit

***

UAlNi: relaxed, PBE.

Structure (POSCAR):
```
UAlNi
1.0
0.000 2.333 6.752
1.558 0.000 6.752
1.558 2.333 0.000
U Al Ni
1 1 1
Direct
0.000 0.000 0.000
0.693 0.693 0.307
0.327 0.327 0.673
```

## Properties
Space group   Fmm2
DOS(E_F)   4.6 states/eV/f.u.
Uncorrected energy   -6.9704 eV per atom
Spin magnetization   1.77 μB per formula unit

***

Sm4NiCCl2: relaxed, PBE.

Structure (POSCAR):
```
Sm4NiCCl2
1.0
6.980 0.000 0.000
0.000 3.773 0.000
-2.251 0.000 7.025
Sm Ni C Cl
4 1 1 2
Direct
0.211 0.000 0.198
0.257 0.500 0.802
0.743 0.500 0.198
0.789 0.000 0.802
0.500 0.000 0.000
0.000 0.500 0.000
0.000 0.000 0.500
0.500 0.500 0.500
```

## Properties
Space group   P2/m
DOS(E_F)   5.2 states/eV/f.u.
Uncorrected energy   -5.6060 eV per atom
Spin magnetization   0.00 μB per formula unit